This record from Alexandria describes crystalline PrPu2ZrP4 at its relaxed geometry. The functional is PBE.

Results
ΔH_f (0 K) in meV per atom: -1290
Density in g cm⁻³: 7.9

Lattice parameters (Å, degrees): 6.831 3.980 6.935 90.00 109.41 90.00
Space group P2/m (No. 10)
Symmetry-distinct sites (fractional):
Pr 0.000 0.000 0.000
Pu 0.500 0.000 0.500
Pu 0.500 0.500 0.000
Zr 0.000 0.500 0.500
P 0.246 0.000 0.734
P 0.257 0.500 0.269